# LaFe3Te

A geometry-optimized LaFe3Te structure (PBE, Alexandria via LeMat-Bulk).

E_form (uncorrected) in eV per atom: 0.606
E above lowest polymorph in meV per atom: 0
Theoretical density in Mg/m³: 6.67

Geometry as CIF:
```
data_LaFe3Te
_chemical_formula_sum 'La1 Fe3 Te1'
_cell_length_a 4.763
_cell_length_b 4.763
_cell_length_c 4.763
_cell_angle_alpha 90.00
_cell_angle_beta 90.00
_cell_angle_gamma 90.00
_space_group_name_H-M_alt 'P m -3 m'
_space_group_IT_number 221
_space_group_name_Hall '-P 4 2 3'
loop_
_atom_site_label
_atom_site_type_symbol
_atom_site_fract_x
_atom_site_fract_y
_atom_site_fract_z
La1 La 0.000 0.000 0.000
Fe1 Fe 0.000 0.500 0.500
Te1 Te 0.500 0.500 0.500
```